First-principles (PBE) data for a geometry-optimized InBAs2 structure, as listed in Alexandria via LeMat-Bulk.

a = 6.662 Å, b = 6.662 Å, c = 6.662 Å
α = 90.00°, β = 90.00°, γ = 90.00°
Space group Fm-3m (No. 225)
Inequivalent atoms, fractional coordinates:
In (0.000, 0.000, 0.000) x4
B (0.000, 0.000, 0.500) x4
As (0.250, 0.250, 0.250) x8

Computed properties:
As for the relative energy among the computed polymorphs: 1.036 eV/atom. For the magnetic moment, the calculation gives 0.00 Bohr magnetons per cell. As for the formation energy: 1071 meV/atom. Its total DFT energy (no corrections) is -3.6077 eV per atom. The density of states at the Fermi level is 8.9 states/eV/cell.